1.
# CuOs2

An optimized crystal structure of CuOs2 (PBE-GGA, Alexandria).

```
3
Lattice="3.5392 0.0000 0.0000 0.0000 3.5392 0.0000 0.0000 0.0000 3.9815" Properties=species:S:1:pos:R:3 pbc="T T T"
Cu 0.0000 0.0000 0.0000
Os 0.0000 1.7696 1.9908
Os 1.7696 0.0000 1.9908
```

The value obtained for the density of states at the Fermi level is 1.34 states/eV per atom. As for the total energy: -7.70 eV/atom. As for the formation energy: 3.5 eV/f.u. The density is 14.78 g cm⁻³.



2.
# CuP2Os

An optimized crystal structure of CuP2Os (PBE-GGA, Alexandria).

```
4
Lattice="-0.1473 -2.7308 -0.1604 1.8264 1.0715 1.7381 -6.4531 -0.0521 6.8131" Properties=species:S:1:pos:R:3 pbc="T T T"
P -6.0983 -0.0493 6.4385
Cu -3.2568 -0.0263 3.4385
P -1.1183 -0.8455 2.8560
Os -3.9802 -0.8686 5.8775
```

The value obtained for the density of states at the Fermi level is 0.56 states/eV per atom. As for the total energy: -6.10 eV/atom. As for the formation energy: 1.7 eV/f.u. The density is 8.40 g cm⁻³.



3.
# CuP2Os

An optimized crystal structure of CuP2Os (PBE-GGA, Alexandria).

```
4
Lattice="-0.9389 -2.6112 -1.1812 2.5077 0.8976 -3.9774 3.0231 -1.7687 1.5069" Properties=species:S:1:pos:R:3 pbc="T T T"
P 0.7844 -0.8568 -2.5793
Os 2.7654 -0.4356 -1.2353
P 0.0000 0.0000 0.0000
Cu 1.0421 -2.1899 0.1628
```

The value obtained for the density of states at the Fermi level is 0.70 states/eV per atom. As for the total energy: -6.01 eV/atom. As for the formation energy: 2.1 eV/f.u. The density is 9.52 g cm⁻³.



4.
# CuPOs2

An optimized crystal structure of CuPOs2 (PBE-GGA, Alexandria).

```
4
Lattice="-3.7024 -2.1168 3.2153 -3.8628 -3.3708 -1.4979 5.2129 1.1287 0.2809" Properties=species:S:1:pos:R:3 pbc="T T T"
Cu -1.5328 -2.7226 -0.1072
Os -7.3906 -5.3610 1.6779
P -3.9225 -2.8453 0.8905
Os -0.8541 -1.6614 2.1135
```

The value obtained for the density of states at the Fermi level is 0.55 states/eV per atom. As for the total energy: -7.71 eV/atom. As for the formation energy: 1.1 eV/f.u. The density is 14.62 g cm⁻³.